Record 1
## CsBe3S (GGA-PBE)

Data for crystalline CsBe3S at its relaxed geometry.

Calculated values
The calculation puts the formation energy from raw total energies at 1.22 eV/atom. The total energy is -10.05 eV per cell. For the spin magnetization, the calculation gives 0.00 μB/atom. The space group is Pm-3m (221).

```
5
Lattice="4.757 0.000 0.000 0.000 4.757 0.000 0.000 0.000 4.757" Properties=species:S:1:pos:R:3 pbc="T T T"
Be 2.379 0.000 0.000
Be 0.000 2.379 0.000
Be 0.000 0.000 2.379
Cs 2.379 2.379 2.379
S 0.000 0.000 0.000
```


Record 2
## Ag3PdSe (GGA-PBE)

Data for crystalline Ag3PdSe at its relaxed geometry.

Calculated values
The calculation puts the formation energy from raw total energies at 0.54 eV/atom. The total energy is -14.53 eV per cell. For the spin magnetization, the calculation gives 0.00 μB/atom. The space group is Pm-3m (221).

```
5
Lattice="-1.524 4.588 1.051 -3.376 -1.835 3.117 3.280 0.243 3.696" Properties=species:S:1:pos:R:3 pbc="T T T"
Ag -0.762 2.294 0.525
Ag 1.640 0.121 1.848
Ag -1.688 -0.917 1.558
Pd -0.810 1.498 3.932
Se 0.000 0.000 0.000
```


Record 3
## KSc2Se (GGA-PBE)

Data for crystalline KSc2Se at its relaxed geometry.

Calculated values
The calculation puts the formation energy from raw total energies at -0.32 eV/atom. The total energy is -18.53 eV per cell. For the spin magnetization, the calculation gives 0.00 μB/atom. The space group is Cmmm (65).

```
4
Lattice="-0.563 0.956 -3.327 -2.960 0.002 1.881 1.627 9.828 2.548" Properties=species:S:1:pos:R:3 pbc="T T T"
Sc 0.686 4.143 1.074
Sc 0.128 0.771 0.200
Se -1.355 2.936 -0.086
K -0.541 7.850 1.188
```


Question: Which value of formation energy from raw total energies does entry 3 give?
Answer: -0.32 eV/atom


Repeat the second record exactly.
## Ag3PdSe (GGA-PBE)

Data for crystalline Ag3PdSe at its relaxed geometry.

Calculated values
The calculation puts the formation energy from raw total energies at 0.54 eV/atom. The total energy is -14.53 eV per cell. For the spin magnetization, the calculation gives 0.00 μB/atom. The space group is Pm-3m (221).

```
5
Lattice="-1.524 4.588 1.051 -3.376 -1.835 3.117 3.280 0.243 3.696" Properties=species:S:1:pos:R:3 pbc="T T T"
Ag -0.762 2.294 0.525
Ag 1.640 0.121 1.848
Ag -1.688 -0.917 1.558
Pd -0.810 1.498 3.932
Se 0.000 0.000 0.000
```